1.
This record from Alexandria describes Cs2MgPbI6 after structural relaxation. The functional is PBE.

Summary:
M_tot: 0.000 μB/atom
raw formation energy: -1115 meV per atom
energy relative to the lowest polymorph listed for this composition: 0 meV/atom
density of states at the Fermi level: 0.00 states/eV per cell

abc: 8.557 8.687 12.263
angles: 90.00 89.93 90.00
Atoms (fractional coordinates):
Cs 0.015 0.947 0.251
Cs 0.515 0.553 0.751
Cs 0.985 0.053 0.749
Cs 0.485 0.447 0.249
Mg 0.500 0.000 0.000
Mg 0.000 0.500 0.500
Pb 0.500 0.000 0.500
Pb 0.000 0.500 0.000
I 0.303 0.721 0.030
I 0.803 0.779 0.530
I 0.697 0.279 0.970
I 0.197 0.221 0.470
I 0.279 0.698 0.469
I 0.779 0.802 0.969
I 0.721 0.302 0.531
I 0.221 0.198 0.031
I 0.940 0.499 0.261
I 0.440 0.001 0.761
I 0.060 0.501 0.739
I 0.560 0.999 0.239

***

2.
This record from Alexandria describes Ac3Tb5Pr2 after structural relaxation. The functional is PBE.

Summary:
M_tot: 0.000 μB/atom
formation energy from the elements: 177 meV per atom
density of states at the Fermi level: 39.67 states/eV per cell

abc: 9.668 9.693 11.445
angles: 123.29 123.24 72.72
Atoms (fractional coordinates):
Ac 0.273 0.023 0.045
Ac 0.727 0.977 0.955
Ac 0.628 0.385 0.280
Ac 0.372 0.615 0.720
Ac 0.152 0.895 0.280
Ac 0.848 0.105 0.720
Tb 0.225 0.475 0.951
Tb 0.775 0.525 0.049
Tb 0.969 0.719 0.439
Tb 0.470 0.220 0.440
Tb 0.031 0.281 0.561
Tb 0.530 0.780 0.560
Tb 0.778 0.510 0.743
Tb 0.222 0.490 0.257
Tb 0.466 0.233 0.743
Tb 0.534 0.767 0.257
Pr 0.972 0.706 0.733
Pr 0.028 0.294 0.267
Pr 0.261 0.027 0.733
Pr 0.739 0.973 0.267

***

3.
This record from Alexandria describes Cd2HgTe after structural relaxation. The functional is PBE.

Summary:
M_tot: 0.000 μB/atom
raw formation energy: 2 meV per atom
energy relative to the lowest polymorph listed for this composition: 116 meV/atom
density of states at the Fermi level: 1.01 states/eV per cell

abc: 5.329 5.329 5.329
angles: 60.00 60.00 60.00
Atoms (fractional coordinates):
Te 0.000 0.000 0.000
Hg 0.500 0.500 0.500
Cd 0.250 0.250 0.250
Cd 0.750 0.750 0.750